1.
Density functional theory data (PBE) for crystalline YErAg2Bi4 at its relaxed geometry.

Calculated values
Density   10.3 g/cm3
Total DFT energy (no corrections)   -4.545 eV per atom

a b c (Å): 4.5386 4.5386 10.2213
angles (deg): 90.00 90.00 90.00
Space group P4mm (No. 99)
Symmetry-distinct sites (fractional):
Y (0.0000, 0.0000, 0.0000) [1 per cell]
Er (0.5000, 0.5000, 0.4964) [1 per cell]
Ag (0.0000, 0.5000, 0.7464) [2 per cell]
Bi (0.0000, 0.0000, 0.5535) [1 per cell]
Bi (0.0000, 0.5000, 0.2498) [2 per cell]
Bi (0.5000, 0.5000, 0.9401) [1 per cell]

***

2.
Density functional theory data (PBE) for crystalline Ag4BiF at its relaxed geometry.

Calculated values
Density   7.5 g/cm3
Total DFT energy (no corrections)   -2.887 eV per atom

a b c (Å): 8.4907 8.7766 3.9048
angles (deg): 90.00 90.00 90.00
Space group Cmmm (No. 65)
Symmetry-distinct sites (fractional):
Ag (0.0000, 0.2369, 0.0000) [4 per cell]
Ag (0.1760, 0.5000, 0.5000) [4 per cell]
Bi (0.0000, 0.0000, 0.5000) [2 per cell]
F (0.0000, 0.5000, 0.0000) [2 per cell]

***

3.
Density functional theory data (PBE) for crystalline AgBiOF2 at its relaxed geometry.

Calculated values
Density   8.2 g/cm3
Total DFT energy (no corrections)   -4.632 eV per atom

a b c (Å): 3.4977 11.9516 7.2279
angles (deg): 90.00 90.00 90.00
Space group Cmcm (No. 63)
Symmetry-distinct sites (fractional):
Ag (0.0000, 0.0000, 0.0000) [4 per cell]
Bi (0.0000, 0.2767, 0.2500) [4 per cell]
O (0.0000, 0.1055, 0.7500) [4 per cell]
F (0.0000, 0.3327, 0.5587) [8 per cell]

***

4.
Density functional theory data (PBE) for crystalline Rb2AgBiF6 at its relaxed geometry.

Calculated values
Density   5.5 g/cm3
Total DFT energy (no corrections)   -4.282 eV per atom

a b c (Å): 6.3542 6.4080 10.9698
angles (deg): 90.00 124.96 90.00
Space group P2_1/c (No. 14)
Symmetry-distinct sites (fractional):
Rb (0.2404, 0.0434, 0.2488) [4 per cell]
Ag (0.0000, 0.0000, 0.5000) [2 per cell]
Bi (0.5000, 0.0000, 0.0000) [2 per cell]
F (0.1680, 0.1944, 0.9580) [4 per cell]
F (0.2668, 0.7094, 0.9574) [4 per cell]
F (0.3405, 0.0229, 0.7566) [4 per cell]

***

Q: Number 2 is which compound?
A: Ag4BiF